[1]
Ca2Zn2As: optimized geometry, PBE.

a = 7.2311 Å, b = 7.2311 Å, c = 4.4529 Å
α = 90.00°, β = 90.00°, γ = 90.00°
Fractional positions:
As: 0.0000 0.0000 0.0000
As: 0.5000 0.5000 0.0000
Ca: 0.1803 0.6803 0.5000
Ca: 0.6803 0.8197 0.5000
Ca: 0.8197 0.3197 0.5000
Ca: 0.3197 0.1803 0.5000
Zn: 0.3784 0.8784 0.0000
Zn: 0.8784 0.6216 0.0000
Zn: 0.6216 0.1216 0.0000
Zn: 0.1216 0.3784 0.0000

Raw total energy ... -2.641 eV per atom
Crystal system ... tetragonal
Total magnetic moment ... 0.000 μB/atom



[2]
Pr7Mg: optimized geometry, PBE.

a = 7.2980 Å, b = 7.2980 Å, c = 7.2980 Å
α = 60.00°, β = 60.00°, γ = 60.00°
Fractional positions:
Pr: 0.5000 0.5000 0.0000
Pr: 0.5000 0.0000 0.5000
Pr: 0.0000 0.5000 0.5000
Pr: 0.5000 0.0000 0.0000
Pr: 0.0000 0.5000 0.0000
Pr: 0.0000 0.0000 0.5000
Pr: 0.5000 0.5000 0.5000
Mg: 0.0000 0.0000 0.0000

Raw total energy ... -4.391 eV per atom
Crystal system ... cubic
Total magnetic moment ... 0.000 μB/atom



[3]
Mn2SbRh: optimized geometry, PBE.

a = 8.4124 Å, b = 8.4124 Å, c = 8.4124 Å
α = 21.34°, β = 21.34°, γ = 21.34°
Site moments in Bohr magnetons follow the coordinates.
Fractional positions:
Mn: 0.9939 0.9939 0.9939  3.58
Mn: 0.5061 0.5061 0.5061  3.58
Rh: 0.2500 0.2500 0.2500  0.73
Sb: 0.7500 0.7500 0.7500  -0.10

Formation energy (no corrections) ... 262 meV per atom
Crystal system ... trigonal
Total magnetic moment ... 2.009 μB/atom



[4]
KIn12Pd4: optimized geometry, PBE.

a = 8.4148 Å, b = 8.4148 Å, c = 8.4148 Å
α = 109.47°, β = 109.47°, γ = 109.47°
Fractional positions:
K: 0.0000 0.0000 0.0000
In: 0.8326 0.3397 0.1723
In: 0.3397 0.5071 0.1674
In: 0.8277 0.1674 0.6603
In: 0.3397 0.1723 0.8326
In: 0.1723 0.8326 0.3397
In: 0.6603 0.4929 0.8326
In: 0.5071 0.1674 0.3397
In: 0.4929 0.8326 0.6603
In: 0.6603 0.8277 0.1674
In: 0.8326 0.6603 0.4929
In: 0.1674 0.3397 0.5071
In: 0.1674 0.6603 0.8277
Pd: 0.0000 0.5000 0.0000
Pd: 0.5000 0.0000 0.0000
Pd: 0.5000 0.5000 0.5000
Pd: 0.0000 0.0000 0.5000

Raw total energy ... -3.382 eV per atom
Crystal system ... cubic
Total magnetic moment ... 0.000 μB/atom



[5]
CaHI2: optimized geometry, PBE.

a = 4.2896 Å, b = 8.1770 Å, c = 8.3278 Å
α = 91.37°, β = 104.92°, γ = 90.40°
Fractional positions:
Ca: 0.1192 0.6189 0.6135
Ca: 0.3890 0.7456 0.1492
H: 0.3248 0.8492 0.8386
H: 0.1454 0.8492 0.8385
I: 0.4999 0.4320 0.3790
I: 0.7651 0.5210 0.9076
I: 0.5820 0.8896 0.5316
I: 0.8720 0.0021 0.1086

Raw total energy ... -3.231 eV per atom
Crystal system ... triclinic
Total magnetic moment ... 0.000 μB/atom



[6]
La2CrGe: optimized geometry, PBE.

a = 8.2518 Å, b = 8.2518 Å, c = 6.6550 Å
α = 51.69°, β = 51.69°, γ = 90.00°
Site moments in Bohr magnetons follow the coordinates.
Fractional positions:
Cr: 0.5000 0.5000 0.0000  3.62
Cr: 0.2500 0.7500 0.5000  3.62
Ge: 0.0000 0.0000 0.0000  0.01
Ge: 0.7500 0.2500 0.5000  0.01
La: 0.6228 0.1250 0.2500  -0.13
La: 0.1272 0.6250 0.2500  -0.13
La: 0.3750 0.3772 0.7500  -0.12
La: 0.8750 0.8728 0.7500  -0.12

Raw total energy ... -5.812 eV per atom
Crystal system ... tetragonal
Total magnetic moment ... 0.883 μB/atom



[7]
Be17NbPt: optimized geometry, PBE.

a = 5.5400 Å, b = 5.5400 Å, c = 5.5400 Å
α = 82.96°, β = 82.96°, γ = 82.96°
Fractional positions:
Be: 0.3015 0.9955 0.7046
Be: 0.7046 0.3015 0.9955
Be: 0.9955 0.7046 0.3015
Be: 0.3015 0.7046 0.9955
Be: 0.9955 0.3015 0.7046
Be: 0.7046 0.9955 0.3015
Be: 0.3495 0.8342 0.3495
Be: 0.3495 0.3495 0.8342
Be: 0.8342 0.3495 0.3495
Be: 0.6527 0.1476 0.6527
Be: 0.6527 0.6527 0.1476
Be: 0.1476 0.6527 0.6527
Be: 0.0148 0.4909 0.0148
Be: 0.0148 0.0148 0.4909
Be: 0.4909 0.0148 0.0148
Be: 0.8967 0.8967 0.8967
Be: 0.0986 0.0986 0.0986
Nb: 0.3410 0.3410 0.3410
Pt: 0.6537 0.6537 0.6537

Raw total energy ... -4.384 eV per atom
Crystal system ... trigonal
Total magnetic moment ... 0.000 μB/atom



[8]
Sc5Ge2H2: optimized geometry, PBE.

a = 5.7621 Å, b = 5.7385 Å, c = 10.1481 Å
α = 106.42°, β = 106.49°, γ = 90.00°
Site moments in Bohr magnetons follow the coordinates.
Fractional positions:
Sc: 0.2492 0.7171 0.9983  0.29
Sc: 0.7508 0.7188 0.0017  0.29
Sc: 0.2491 0.2171 0.9983  0.29
Sc: 0.7509 0.2188 0.0017  0.29
Sc: 0.1710 0.1231 0.3058  0.00
Sc: 0.8290 0.8172 0.6942  0.00
Sc: 0.6348 0.6231 0.3058  0.00
Sc: 0.3652 0.3172 0.6942  0.00
Sc: 0.2193 0.7107 0.5000  0.01
Sc: 0.7807 0.2107 0.5000  0.01
Ge: 0.1053 0.5759 0.2126  -0.01
Ge: 0.8947 0.3633 0.7874  -0.01
Ge: 0.6073 0.0759 0.2126  -0.01
Ge: 0.3927 0.8633 0.7874  -0.01
H: 0.0000 0.9676 0.0000  0.00
H: 0.5000 0.4676 0.0000  0.00
H: 0.1249 0.3422 0.5000  0.00
H: 0.8751 0.8422 0.5000  0.00

Raw total energy ... -5.890 eV per atom
Crystal system ... orthorhombic
Total magnetic moment ... 0.083 μB/atom



[9]
CsGe2BPd: optimized geometry, PBE.

a = 4.7217 Å, b = 4.7121 Å, c = 4.7217 Å
α = 90.00°, β = 90.00°, γ = 90.00°
Fractional positions:
Cs: 0.5000 0.5000 0.5000
Ge: 0.0000 0.0000 0.5000
Ge: 0.5000 0.0000 0.0000
B: 0.0000 0.0000 0.0000
Pd: 0.0000 0.5000 0.0000

Raw total energy ... -3.775 eV per atom
Crystal system ... tetragonal
Total magnetic moment ... 0.000 μB/atom



[10]
Ho6NpO12: optimized geometry, PBE.

a = 6.5329 Å, b = 6.5329 Å, c = 6.5329 Å
α = 98.94°, β = 98.94°, γ = 98.94°
Site moments in Bohr magnetons follow the coordinates.
Fractional positions:
Ho: 0.6782 0.8544 0.3896  0.00
Ho: 0.6104 0.3218 0.1456  0.00
Ho: 0.1456 0.6104 0.3218  0.00
Ho: 0.3218 0.1456 0.6104  0.00
Ho: 0.3896 0.6782 0.8544  0.00
Ho: 0.8544 0.3896 0.6782  0.00
Np: 0.0000 0.0000 0.0000  1.21
O: 0.8223 0.5715 0.4118  0.00
O: 0.4118 0.8223 0.5715  0.00
O: 0.5715 0.4118 0.8223  0.00
O: 0.1777 0.4285 0.5882  0.00
O: 0.5882 0.1777 0.4285  0.00
O: 0.4285 0.5882 0.1777  0.00
O: 0.0793 0.9541 0.3086  -0.03
O: 0.0459 0.6914 0.9207  -0.03
O: 0.6914 0.9207 0.0459  -0.03
O: 0.9207 0.0459 0.6914  -0.03
O: 0.9541 0.3086 0.0793  -0.03
O: 0.3086 0.0793 0.9541  -0.03

Formation energy (no corrections) ... -3509 meV per atom
Crystal system ... trigonal
Total magnetic moment ... 0.053 μB/atom



[11]
AcMgHg2: optimized geometry, PBE.

a = 3.7630 Å, b = 3.7630 Å, c = 7.6453 Å
α = 90.00°, β = 90.00°, γ = 90.00°
Fractional positions:
Mg: 0.5000 0.5000 0.0000
Ac: 0.5000 0.5000 0.5000
Hg: 0.0000 0.0000 0.7898
Hg: 0.0000 0.0000 0.2102

Raw total energy ... -1.926 eV per atom
Crystal system ... tetragonal
Total magnetic moment ... 0.001 μB/atom



[12]
HoTl2Pd6: optimized geometry, PBE.

a = 4.2859 Å, b = 5.0297 Å, c = 8.9129 Å
α = 69.78°, β = 76.09°, γ = 64.78°
Fractional positions:
Ho: 0.0000 0.5000 0.5000
Tl: 0.3067 0.6394 0.7472
Tl: 0.6933 0.3606 0.2528
Pd: 0.6549 0.7471 0.9431
Pd: 0.3451 0.2529 0.0569
Pd: 0.0148 0.8043 0.1662
Pd: 0.3406 0.9279 0.3908
Pd: 0.9852 0.1957 0.8338
Pd: 0.6594 0.0721 0.6092

Raw total energy ... -4.907 eV per atom
Crystal system ... monoclinic
Total magnetic moment ... 0.000 μB/atom